Entry 1:
ScV | PBE | optimized geometry

It has space group P-1 (No. 2), with a = 3.038 Å, b = 4.351 Å, c = 5.803 Å, α = 81.57°, β = 78.76° and γ = 89.41°. The distinct sites, in fractional coordinates, are Sc at (0.148, 0.221, 0.162) and V at (0.432, 0.704, 0.403).

As for the energy relative to the elements: 0.217 eV/atom. The relative energy among the computed polymorphs is 12.7 kJ per mole of atoms. The calculation puts the density of states at the Fermi level at 1.365 states/eV/atom. For the spin magnetization, the calculation gives 0.00 μB per formula unit.

=====

Entry 2:
ScV | PBE | optimized geometry

It has space group Fm-3m (No. 225), with a = 5.543 Å, b = 5.543 Å, c = 5.543 Å, α = 90.00°, β = 90.00° and γ = 90.00°. The distinct sites, in fractional coordinates, are Sc at (0.000, 0.000, 0.000) and V at (0.000, 0.000, 0.500).

As for the energy relative to the elements: 1.021 eV/atom. The relative energy among the computed polymorphs is 90.2 kJ per mole of atoms. The calculation puts the density of states at the Fermi level at 1.267 states/eV/atom. For the spin magnetization, the calculation gives 3.51 μB per formula unit.

=====

Entry 3:
ScV2 | PBE | optimized geometry

It has space group P-1 (No. 2), with a = 4.258 Å, b = 5.160 Å, c = 5.372 Å, α = 66.99°, β = 68.50° and γ = 74.44°. The distinct sites, in fractional coordinates, are Sc at (0.167, 0.414, 0.244), V at (0.183, 0.959, 0.752) and V at (0.493, 0.790, 0.263).

As for the energy relative to the elements: 0.213 eV/atom. The calculation puts the density of states at the Fermi level at 1.008 states/eV/atom. For the spin magnetization, the calculation gives 0.00 μB per formula unit.